Material: CsErNiF6
Method: DFT, GGA+U
State: optimized geometry

Structure (CIF):
```
data_CsErNiF6
_chemical_formula_sum 'Cs4 Er4 Ni4 F24'
_cell_length_a 7.6483
_cell_length_b 8.0330
_cell_length_c 10.8690
_cell_angle_alpha 90.00
_cell_angle_beta 90.00
_cell_angle_gamma 90.00
_symmetry_space_group_name_H-M 'I m m a'
_symmetry_Int_Tables_number 74
_symmetry_space_group_name_Hall '-I 2b 2'
loop_
_atom_site_label
_atom_site_fract_x
_atom_site_fract_y
_atom_site_fract_z
Cs1 0.0000 0.2500 0.0815
Er1 0.0000 0.0000 0.5000
Ni1 0.2500 0.2500 0.7500
F1 0.0000 0.2500 0.4188
F2 0.0000 0.2500 0.8009
F3 0.2097 0.0691 0.6206
```

Output
ρ: 4703 kg/m³
Uncorrected energy: -5.341 eV/atom
Crystal system: orthorhombic